{"formula": "UAsF", "functional": "PBE", "state": "relaxed", "lattice_angstrom": [[3.9076, 0.0000, 0.0000], [0.0000, 4.0775, 0.0000], [0.0000, -2.0388, 3.5312]], "species": ["As", "U", "F"], "fractional_positions": [[0.6666, 0.6667, 0.3333], [0.1664, 0.0000, 0.0000], [0.1670, 0.3333, 0.6667]], "polymorph_energy_kcal_per_mol_atoms": 0.000, "sg": "P-6m2", "m_tot_mub_per_atom": 0.668, "crystal_system": "hexagonal", "energy_ev_per_atom": -7.70, "e_form_raw_ev_per_atom": -1.77}